[1]
Zr5Pb3Se, optimized geometry, DFT GGA-PBE; volume = 22.57 Å³/atom; SG = P6_3/mcm (193)
1.0
8.747 0.000 0.000
-4.374 7.576 0.000
0.000 0.000 6.131
Zr Pb Se
10 6 2
Direct
0.000 0.261 0.250
0.000 0.739 0.750
0.261 0.000 0.250
0.261 0.261 0.750
0.333 0.667 0.000
0.333 0.667 0.500
0.667 0.333 0.000
0.667 0.333 0.500
0.739 0.000 0.750
0.739 0.739 0.250
0.000 0.395 0.750
0.000 0.605 0.250
0.395 0.000 0.750
0.395 0.395 0.250
0.605 0.000 0.250
0.605 0.605 0.750
0.000 0.000 0.000
0.000 0.000 0.500


[2]
TaCoBiOs, optimized geometry, DFT GGA-PBE; volume = 16.94 Å³/atom; SG = F-43m (216)
1.0
0.000 3.236 3.236
3.236 0.000 3.236
3.236 3.236 0.000
Ta Co Bi Os
1 1 1 1
Direct
0.000 0.000 0.000
0.500 0.500 0.500
0.250 0.250 0.250
0.750 0.750 0.750


[3]
TbPrSb2Te2, optimized geometry, DFT GGA-PBE; volume = 29.59 Å³/atom; SG = P4mm (99)
1.0
4.337 0.000 0.000
0.000 4.337 0.000
0.000 0.000 9.440
Tb Pr Sb Te
1 1 2 2
Direct
0.000 0.000 0.000
0.500 0.500 0.549
0.000 0.500 0.270
0.500 0.000 0.270
0.000 0.000 0.657
0.500 0.500 0.905


[4]
Al2Co2W3, optimized geometry, DFT GGA-PBE; volume = 14.02 Å³/atom; SG = R3m (160)
1.0
2.136 1.233 6.209
-2.136 1.233 6.209
0.000 -2.467 6.209
Al Co W
2 2 3
Direct
0.000 0.000 0.000
0.420 0.420 0.420
0.137 0.137 0.137
0.707 0.707 0.707
0.276 0.276 0.276
0.564 0.564 0.564
0.844 0.844 0.844


[5]
Hg3Br2Cl2, optimized geometry, DFT GGA-PBE; volume = 38.61 Å³/atom; SG = I2_13 (199)
1.0
-5.132 5.132 5.132
5.132 -5.132 5.132
5.132 5.132 -5.132
Hg Br Cl
6 4 4
Direct
0.131 0.750 0.881
0.250 0.619 0.369
0.369 0.250 0.619
0.619 0.369 0.250
0.750 0.881 0.131
0.881 0.131 0.750
0.000 0.543 0.500
0.500 0.000 0.543
0.543 0.500 0.000
0.957 0.957 0.957
0.000 0.064 0.500
0.064 0.500 0.000
0.436 0.436 0.436
0.500 0.000 0.064


[6]
Er3Mg3GaHg2, optimized geometry, DFT GGA-PBE; volume = 23.59 Å³/atom; SG = P-62m (189)
1.0
7.717 0.000 0.000
-3.858 6.683 0.000
0.000 0.000 4.117
Er Mg Ga Hg
3 3 1 2
Direct
0.000 0.593 0.000
0.407 0.407 0.000
0.593 0.000 0.000
0.000 0.244 0.500
0.244 0.000 0.500
0.756 0.756 0.500
0.000 0.000 0.000
0.333 0.667 0.500
0.667 0.333 0.500


[7]
BeZnCuOs, optimized geometry, DFT GGA-PBE; volume = 12.06 Å³/atom; SG = F-43m (216)
1.0
0.000 2.889 2.889
2.889 0.000 2.889
2.889 2.889 0.000
Be Zn Cu Os
1 1 1 1
Direct
0.000 0.000 0.000
0.250 0.250 0.250
0.500 0.500 0.500
0.750 0.750 0.750


[8]
BaPrBi, optimized geometry, DFT GGA-PBE; volume = 40.84 Å³/atom; SG = F-43m (216)
1.0
0.000 3.942 3.942
3.942 0.000 3.942
3.942 3.942 0.000
Ba Pr Bi
1 1 1
Direct
0.000 0.000 0.000
0.250 0.250 0.250
0.500 0.500 0.500


Which total energy belongs to each record? In order, -62.2 -31.6 -30.8 -61.2 -9.9 -25.6 -19.1 -10.9 eV per formula unit.